one.
First-principles (GGA-PBE) data for an optimized crystal structure of MnCdMo, as listed in the Alexandria database.

Values from the calculation:
The value obtained for the volume is 15.96 Å³/atom. As for the space-group type: I4mm. Its density of states at the Fermi level is 3.08 states/eV/f.u.

Cell lengths 3.0210, 3.0210, 10.4926 Å; angles 90.00, 90.00, 90.00 degrees
Fractional positions:
Mn: 0.0000 0.0000 0.0000
Mn: 0.5000 0.5000 0.5000
Cd: 0.0000 0.0000 0.6811
Cd: 0.5000 0.5000 0.1811
Mo: 0.0000 0.0000 0.3848
Mo: 0.5000 0.5000 0.8848

---

two.
First-principles (GGA-PBE) data for an optimized crystal structure of MnCdMo, as listed in the Alexandria database.

Values from the calculation:
The value obtained for the volume is 15.97 Å³/atom. As for the space-group type: P-1. Its density of states at the Fermi level is 2.42 states/eV/f.u.

Cell lengths 2.7570, 4.8372, 7.4048 Å; angles 79.43, 84.14, 81.91 degrees
Fractional positions:
Mn: 0.1672 0.1630 0.3942
Mn: 0.8328 0.8370 0.6058
Cd: 0.2605 0.7671 0.9355
Cd: 0.7395 0.2329 0.0645
Mo: 0.3311 0.3367 0.6611
Mo: 0.6689 0.6633 0.3389

---

three.
First-principles (GGA-PBE) data for an optimized crystal structure of MnCdMo, as listed in the Alexandria database.

Values from the calculation:
The value obtained for the volume is 18.43 Å³/atom. As for the space-group type: F-43m. Its density of states at the Fermi level is 4.68 states/eV/f.u.

Cell lengths 6.0474, 6.0474, 6.0474 Å; angles 90.00, 90.00, 90.00 degrees
Fractional positions:
Mn: 0.0000 0.0000 0.0000
Mn: 0.0000 0.5000 0.5000
Mn: 0.5000 0.0000 0.5000
Mn: 0.5000 0.5000 0.0000
Cd: 0.2500 0.2500 0.2500
Cd: 0.2500 0.7500 0.7500
Cd: 0.7500 0.2500 0.7500
Cd: 0.7500 0.7500 0.2500
Mo: 0.2500 0.2500 0.7500
Mo: 0.2500 0.7500 0.2500
Mo: 0.7500 0.2500 0.2500
Mo: 0.7500 0.7500 0.7500

---

four.
First-principles (GGA-PBE) data for an optimized crystal structure of MnCdMo, as listed in the Alexandria database.

Values from the calculation:
The value obtained for the volume is 16.00 Å³/atom. As for the space-group type: Cmcm. Its density of states at the Fermi level is 2.23 states/eV/f.u.

Cell lengths 2.9029, 17.2309, 3.8390 Å; angles 90.00, 90.00, 90.00 degrees
Fractional positions:
Mn: 0.0000 0.0391 0.2500
Mn: 0.0000 0.9609 0.7500
Mn: 0.5000 0.4609 0.7500
Mn: 0.5000 0.5391 0.2500
Cd: 0.0000 0.1991 0.2500
Cd: 0.0000 0.8009 0.7500
Cd: 0.5000 0.3009 0.7500
Cd: 0.5000 0.6991 0.2500
Mo: 0.0000 0.4120 0.2500
Mo: 0.0000 0.5880 0.7500
Mo: 0.5000 0.0880 0.7500
Mo: 0.5000 0.9120 0.2500

---

four ends up most stable, edging out the next structure by 28 meV/atom.

---

one.
First-principles (GGA-PBE) data for an optimized crystal structure of MnCd3N, as listed in the Alexandria database.

Values from the calculation:
The value obtained for the volume is 19.61 Å³/atom. As for the space-group type: Pm-3m. Its density of states at the Fermi level is 2.20 states/eV/f.u.

Cell lengths 4.6113, 4.6113, 4.6113 Å; angles 90.00, 90.00, 90.00 degrees
Fractional positions:
Mn: 0.0000 0.0000 0.0000
Cd: 0.0000 0.5000 0.5000
Cd: 0.5000 0.0000 0.5000
Cd: 0.5000 0.5000 0.0000
N: 0.5000 0.5000 0.5000

---

two.
First-principles (GGA-PBE) data for an optimized crystal structure of MnCd3N, as listed in the Alexandria database.

Values from the calculation:
The value obtained for the volume is 26.99 Å³/atom. As for the space-group type: Pm-3m. Its density of states at the Fermi level is 7.34 states/eV/f.u.

Cell lengths 5.1295, 5.1295, 5.1295 Å; angles 90.00, 90.00, 90.00 degrees
Fractional positions:
Mn: 0.0000 0.0000 0.0000
Cd: 0.0000 0.0000 0.5000
Cd: 0.0000 0.5000 0.0000
Cd: 0.5000 0.0000 0.0000
N: 0.5000 0.5000 0.5000

---

one ends up most stable, edging out the next structure by 936 meV/atom.

---

one.
First-principles (GGA-PBE) data for an optimized crystal structure of MnCdSe2N, as listed in the Alexandria database.

Values from the calculation:
The value obtained for the volume is 23.37 Å³/atom. As for the space-group type: P4/mmm. Its density of states at the Fermi level is 2.53 states/eV/f.u.

Cell lengths 5.3159, 5.3159, 4.1351 Å; angles 90.00, 90.00, 90.00 degrees
Fractional positions:
Mn: 0.0000 0.0000 0.0000
Cd: 0.5000 0.5000 0.5000
Se: 0.0000 0.5000 0.5000
Se: 0.5000 0.0000 0.5000
N: 0.5000 0.5000 0.0000

---

two.
First-principles (GGA-PBE) data for an optimized crystal structure of MnCdSe2N, as listed in the Alexandria database.

Values from the calculation:
The value obtained for the volume is 18.21 Å³/atom. As for the space-group type: P4/mmm. Its density of states at the Fermi level is 1.91 states/eV/f.u.

Cell lengths 5.0996, 5.0996, 3.5020 Å; angles 90.00, 90.00, 90.00 degrees
Fractional positions:
Mn: 0.0000 0.0000 0.0000
Cd: 0.5000 0.5000 0.5000
Se: 0.0000 0.5000 0.0000
Se: 0.5000 0.0000 0.0000
N: 0.0000 0.0000 0.5000

---

two ends up most stable, edging out the next structure by 1031 meV/atom.

---

one.
First-principles (GGA-PBE) data for an optimized crystal structure of NaMnCd2, as listed in the Alexandria database.

Values from the calculation:
The value obtained for the volume is 20.56 Å³/atom. As for the space-group type: Fm-3m. Its density of states at the Fermi level is 2.45 states/eV/f.u.

Cell lengths 6.9027, 6.9027, 6.9027 Å; angles 90.00, 90.00, 90.00 degrees
Fractional positions:
Na: 0.0000 0.0000 0.0000
Na: 0.0000 0.5000 0.5000
Na: 0.5000 0.0000 0.5000
Na: 0.5000 0.5000 0.0000
Mn: 0.0000 0.0000 0.5000
Mn: 0.0000 0.5000 0.0000
Mn: 0.5000 0.0000 0.0000
Mn: 0.5000 0.5000 0.5000
Cd: 0.2500 0.2500 0.2500
Cd: 0.2500 0.2500 0.7500
Cd: 0.2500 0.7500 0.2500
Cd: 0.2500 0.7500 0.7500
Cd: 0.7500 0.2500 0.2500
Cd: 0.7500 0.2500 0.7500
Cd: 0.7500 0.7500 0.2500
Cd: 0.7500 0.7500 0.7500

---

two.
First-principles (GGA-PBE) data for an optimized crystal structure of NaMnCd2, as listed in the Alexandria database.

Values from the calculation:
The value obtained for the volume is 24.34 Å³/atom. As for the space-group type: I-42d. Its density of states at the Fermi level is 2.59 states/eV/f.u.

Cell lengths 4.3815, 4.3815, 20.2859 Å; angles 90.00, 90.00, 90.00 degrees
Fractional positions:
Na: 0.0000 0.0000 0.0000
Na: 0.0000 0.5000 0.2500
Na: 0.5000 0.0000 0.7500
Na: 0.5000 0.5000 0.5000
Mn: 0.0000 0.0000 0.5000
Mn: 0.0000 0.5000 0.7500
Mn: 0.5000 0.0000 0.2500
Mn: 0.5000 0.5000 0.0000
Cd: 0.2334 0.2500 0.6250
Cd: 0.2500 0.7334 0.8750
Cd: 0.2500 0.7666 0.3750
Cd: 0.2666 0.2500 0.1250
Cd: 0.7334 0.7500 0.1250
Cd: 0.7500 0.2334 0.3750
Cd: 0.7500 0.2666 0.8750
Cd: 0.7666 0.7500 0.6250

---

one ends up most stable, edging out the next structure by 263 meV/atom.

---

one.
First-principles (GGA-PBE) data for an optimized crystal structure of MnNbCd, as listed in the Alexandria database.

Values from the calculation:
The value obtained for the volume is 16.28 Å³/atom. As for the space-group type: P3m1. Its density of states at the Fermi level is 1.68 states/eV/f.u.

Cell lengths 4.5191, 4.5191, 2.7618 Å; angles 90.00, 90.00, 120.00 degrees
Fractional positions:
Mn: 0.0000 0.0000 0.0000
Nb: 0.3333 0.6667 0.7588
Cd: 0.6667 0.3333 0.3293

---

two.
First-principles (GGA-PBE) data for an optimized crystal structure of MnNbCd, as listed in the Alexandria database.

Values from the calculation:
The value obtained for the volume is 17.68 Å³/atom. As for the space-group type: Fmm2. Its density of states at the Fermi level is 2.09 states/eV/f.u.

Cell lengths 3.6566, 4.3524, 13.3337 Å; angles 90.00, 90.00, 90.00 degrees
Fractional positions:
Mn: 0.0000 0.0000 0.0000
Mn: 0.0000 0.5000 0.5000
Mn: 0.5000 0.0000 0.5000
Mn: 0.5000 0.5000 0.0000
Nb: 0.0000 0.0000 0.6496
Nb: 0.0000 0.5000 0.1496
Nb: 0.5000 0.0000 0.1496
Nb: 0.5000 0.5000 0.6496
Cd: 0.0000 0.0000 0.3330
Cd: 0.0000 0.5000 0.8330
Cd: 0.5000 0.0000 0.8330
Cd: 0.5000 0.5000 0.3330

---

three.
First-principles (GGA-PBE) data for an optimized crystal structure of MnNbCd, as listed in the Alexandria database.

Values from the calculation:
The value obtained for the volume is 17.20 Å³/atom. As for the space-group type: P1. Its density of states at the Fermi level is 2.88 states/eV/f.u.

Cell lengths 2.8793, 4.8117, 7.7018 Å; angles 104.46, 92.49, 90.69 degrees
Fractional positions:
Mn: 0.0000 0.0000 0.0000
Mn: 0.4604 0.7572 0.7713
Nb: 0.0826 0.6957 0.4816
Nb: 0.8995 0.2481 0.7089
Cd: 0.5033 0.5295 0.0836
Cd: 0.5258 0.1345 0.3333

---

two ends up most stable, edging out the next structure by 29 meV/atom.

---

one.
First-principles (GGA-PBE) data for an optimized crystal structure of MnNbCd, as listed in the Alexandria database.

Values from the calculation:
The value obtained for the volume is 17.27 Å³/atom. As for the space-group type: P1. Its density of states at the Fermi level is 2.57 states/eV/f.u.

Cell lengths 2.8796, 4.7592, 7.6588 Å; angles 82.66, 84.39, 88.52 degrees
Fractional positions:
Mn: 0.0000 0.0000 0.0000
Mn: 0.1526 0.3887 0.7917
Nb: 0.5852 0.8853 0.7122
Nb: 0.9196 0.4145 0.5053
Cd: 0.4091 0.9462 0.3360
Cd: 0.5157 0.4892 0.1062

---

two.
First-principles (GGA-PBE) data for an optimized crystal structure of MnNbCd, as listed in the Alexandria database.

Values from the calculation:
The value obtained for the volume is 18.56 Å³/atom. As for the space-group type: R-3m. Its density of states at the Fermi level is 1.31 states/eV/f.u.

Cell lengths 6.6113, 6.6113, 6.6113 Å; angles 40.80, 40.80, 40.80 degrees
Fractional positions:
Mn: 0.2083 0.2083 0.2083
Mn: 0.7917 0.7917 0.7917
Nb: 0.0869 0.0869 0.0869
Nb: 0.9131 0.9131 0.9131
Cd: 0.3685 0.3685 0.3685
Cd: 0.6315 0.6315 0.6315

---

three.
First-principles (GGA-PBE) data for an optimized crystal structure of MnNbCd, as listed in the Alexandria database.

Values from the calculation:
The value obtained for the volume is 17.24 Å³/atom. As for the space-group type: P1. Its density of states at the Fermi level is 2.61 states/eV/f.u.

Cell lengths 2.9540, 5.1912, 7.4620 Å; angles 70.18, 80.38, 74.72 degrees
Fractional positions:
Mn: 0.0000 0.0000 0.0000
Mn: 0.3460 0.3883 0.8866
Nb: 0.0763 0.3964 0.5858
Nb: 0.6735 0.8613 0.7394
Cd: 0.3491 0.9579 0.3572
Cd: 0.6689 0.4965 0.1845

---

four.
First-principles (GGA-PBE) data for an optimized crystal structure of MnNbCd, as listed in the Alexandria database.

Values from the calculation:
The value obtained for the volume is 17.68 Å³/atom. As for the space-group type: Cm. Its density of states at the Fermi level is 2.26 states/eV/f.u.

Cell lengths 10.1740, 2.9620, 7.2184 Å; angles 90.00, 102.75, 90.00 degrees
Fractional positions:
Mn: 0.0000 0.0000 0.0000
Mn: 0.1480 0.5000 0.2134
Mn: 0.5000 0.5000 0.0000
Mn: 0.6480 0.0000 0.2134
Nb: 0.0953 0.0000 0.4490
Nb: 0.3558 0.0000 0.2134
Nb: 0.5953 0.5000 0.4490
Nb: 0.8558 0.5000 0.2134
Cd: 0.2037 0.5000 0.8444
Cd: 0.3942 0.0000 0.6391
Cd: 0.7037 0.0000 0.8444
Cd: 0.8942 0.5000 0.6391

---

three ends up most stable, edging out the next structure by 12 meV/atom.

---

one.
First-principles (GGA-PBE) data for an optimized crystal structure of MnNbCd3, as listed in the Alexandria database.

Values from the calculation:
The value obtained for the volume is 32.14 Å³/atom. As for the space-group type: Pm-3m. Its density of states at the Fermi level is 4.17 states/eV/f.u.

Cell lengths 5.4368, 5.4368, 5.4368 Å; angles 90.00, 90.00, 90.00 degrees
Fractional positions:
Mn: 0.0000 0.0000 0.0000
Nb: 0.5000 0.5000 0.5000
Cd: 0.0000 0.5000 0.5000
Cd: 0.5000 0.0000 0.5000
Cd: 0.5000 0.5000 0.0000

---

two.
First-principles (GGA-PBE) data for an optimized crystal structure of MnNbCd3, as listed in the Alexandria database.

Values from the calculation:
The value obtained for the volume is 22.54 Å³/atom. As for the space-group type: Pm-3m. Its density of states at the Fermi level is 6.19 states/eV/f.u.

Cell lengths 4.8301, 4.8301, 4.8301 Å; angles 90.00, 90.00, 90.00 degrees
Fractional positions:
Mn: 0.0000 0.0000 0.0000
Nb: 0.5000 0.5000 0.5000
Cd: 0.0000 0.0000 0.5000
Cd: 0.0000 0.5000 0.0000
Cd: 0.5000 0.0000 0.0000

---

one ends up most stable, edging out the next structure by 22 meV/atom.

---

one.
First-principles (GGA-PBE) data for an optimized crystal structure of MnNb2Cd2, as listed in the Alexandria database.

Values from the calculation:
The value obtained for the volume is 19.43 Å³/atom. As for the space-group type: P4/mbm. Its density of states at the Fermi level is 3.91 states/eV/f.u.

Cell lengths 6.2490, 6.2490, 4.9756 Å; angles 90.00, 90.00, 90.00 degrees
Fractional positions:
Mn: 0.0000 0.0000 0.0000
Mn: 0.5000 0.5000 0.0000
Nb: 0.1541 0.3459 0.0000
Nb: 0.3459 0.8459 0.0000
Nb: 0.6541 0.1541 0.0000
Nb: 0.8459 0.6541 0.0000
Cd: 0.1646 0.6646 0.5000
Cd: 0.3354 0.1646 0.5000
Cd: 0.6646 0.8354 0.5000
Cd: 0.8354 0.3354 0.5000

---

two.
First-principles (GGA-PBE) data for an optimized crystal structure of MnNb2Cd2, as listed in the Alexandria database.

Values from the calculation:
The value obtained for the volume is 20.99 Å³/atom. As for the space-group type: I4/mmm. Its density of states at the Fermi level is 3.74 states/eV/f.u.

Cell lengths 3.8761, 3.8761, 13.9701 Å; angles 90.00, 90.00, 90.00 degrees
Fractional positions:
Mn: 0.0000 0.0000 0.0000
Mn: 0.5000 0.5000 0.5000
Nb: 0.0000 0.0000 0.4175
Nb: 0.0000 0.0000 0.5825
Nb: 0.5000 0.5000 0.0825
Nb: 0.5000 0.5000 0.9175
Cd: 0.0000 0.5000 0.2500
Cd: 0.0000 0.5000 0.7500
Cd: 0.5000 0.0000 0.2500
Cd: 0.5000 0.0000 0.7500

---

one ends up most stable, edging out the next structure by 204 meV/atom.